No. 1
This record from Alexandria via LeMat-Bulk describes La2InH after structural relaxation. The functional is PBE.

Results
**M_tot**: 0.67 μB/cell
**DOS at the Fermi energy**: 15.402 states/eV/cell
**Electronic total energy**: -0.163 hartree per atom
**Polymorph energy (0 for the lowest one)**: 0.000 eV per atom

abc: 5.0443 7.1844 11.4658
angles: 105.91 90.00 90.00
Fractional positions:
H (0.7500, 0.3673, 0.3852)
H (0.2500, 0.8673, 0.8852)
H (0.2500, 0.6327, 0.6148)
H (0.7500, 0.1327, 0.1148)
La (0.2500, 0.1799, 0.0496)
La (0.2500, 0.3201, 0.4504)
La (0.2500, 0.9896, 0.7062)
La (0.7500, 0.0104, 0.2938)
La (0.2500, 0.5104, 0.7938)
La (0.7500, 0.6799, 0.5496)
La (0.7500, 0.4896, 0.2062)
La (0.7500, 0.8201, 0.9504)
In (0.2500, 0.7332, 0.1182)
In (0.7500, 0.2332, 0.6182)
In (0.2500, 0.7668, 0.3818)
In (0.7500, 0.2668, 0.8818)

No. 2
This record from Alexandria via LeMat-Bulk describes ZrTlCu after structural relaxation. The functional is PBE.

Results
**M_tot**: 0.00 μB/cell
**DOS at the Fermi energy**: 5.066 states/eV/cell
**Electronic total energy**: -0.183 hartree per atom

abc: 5.6846 4.5025 5.6830
angles: 66.69 113.55 113.31
Fractional positions:
Zr (0.7903, 0.5403, 0.3964)
Zr (0.2763, 0.5400, 0.8830)
Cu (0.1795, 0.1867, 0.4928)
Cu (0.8867, 0.8930, 0.7869)
Tl (0.7143, 0.2212, 0.9583)
Tl (0.3524, 0.8590, 0.3212)

No. 3
This record from Alexandria via LeMat-Bulk describes CsK2RbAg after structural relaxation. The functional is PBE.

Results
**M_tot**: 0.00 μB/cell
**DOS at the Fermi energy**: 4.007 states/eV/cell
**Electronic total energy**: -0.049 hartree per atom

abc: 6.9172 6.9172 7.3411
angles: 90.00 90.00 90.00
Fractional positions:
Ag (0.0000, 0.0000, 0.0000)
K (0.0000, 0.5000, 0.0000)
K (0.5000, 0.0000, 0.0000)
Rb (0.5000, 0.5000, 0.5000)
Cs (0.0000, 0.0000, 0.5000)

No. 4
This record from Alexandria via LeMat-Bulk describes RbNpPb2I8 after structural relaxation. The functional is PBE.

Results
**M_tot**: 4.00 μB/cell
**DOS at the Fermi energy**: 3.862 states/eV/cell
**Energy relative to the elements, uncorrected**: -820.4 meV per atom
**Electronic total energy**: -0.133 hartree per atom

abc: 7.8571 7.5036 9.8638
angles: 89.95 89.98 89.10
Fractional positions:
I (0.8456, 0.2542, 0.2173)
I (0.1544, 0.7458, 0.7827)
I (0.3773, 0.2654, 0.5002)
I (0.1537, 0.7452, 0.2175)
I (0.6227, 0.7346, 0.4998)
I (0.3267, 0.2413, 0.0002)
I (0.8463, 0.2548, 0.7825)
I (0.6733, 0.7587, 0.9998)
Np (0.0000, 0.0000, 0.0000)
Rb (0.0000, 0.0000, 0.5000)
Pb (0.4998, 0.5000, 0.2504)
Pb (0.5002, 0.5000, 0.7496)

No. 5
This record from Alexandria via LeMat-Bulk describes CsNpAg2F8 after structural relaxation. The functional is PBE.

Results
**M_tot**: 2.00 μB/cell
**DOS at the Fermi energy**: 10.089 states/eV/cell
**Energy relative to the elements, uncorrected**: -2376.9 meV per atom
**Electronic total energy**: -0.193 hartree per atom

abc: 5.7663 5.7663 9.1766
angles: 90.00 90.00 120.00
Fractional positions:
F (0.6667, 0.3333, 0.5584)
F (0.1652, 0.8348, 0.8612)
F (0.8348, 0.1652, 0.1388)
F (0.1652, 0.3305, 0.8612)
F (0.3333, 0.6667, 0.4416)
F (0.3305, 0.1652, 0.1388)
F (0.6695, 0.8348, 0.8612)
F (0.8348, 0.6695, 0.1388)
Ag (0.6667, 0.3333, 0.3278)
Ag (0.3333, 0.6667, 0.6722)
Np (0.0000, 0.0000, 0.0000)
Cs (0.0000, 0.0000, 0.5000)

No. 6
This record from Alexandria via LeMat-Bulk describes LaCd2Cl after structural relaxation. The functional is PBE.

Results
**M_tot**: 0.00 μB/cell
**DOS at the Fermi energy**: 2.082 states/eV/cell
**Energy relative to the elements, uncorrected**: -442.8 meV per atom
**Electronic total energy**: -0.095 hartree per atom
**Polymorph energy (0 for the lowest one)**: 0.306 eV per atom

abc: 9.9023 9.9023 9.9023
angles: 21.16 21.16 21.16
Fractional positions:
Cd (0.9892, 0.9892, 0.9892)
Cd (0.5108, 0.5108, 0.5108)
La (0.7500, 0.7500, 0.7500)
Cl (0.2500, 0.2500, 0.2500)

No. 7
This record from Alexandria via LeMat-Bulk describes Dy2HoZrAs4 after structural relaxation. The functional is PBE.

Results
**M_tot**: 0.00 μB/cell
**DOS at the Fermi energy**: 1.424 states/eV/cell
**Electronic total energy**: -0.241 hartree per atom

abc: 4.0384 6.9982 6.9993
angles: 109.30 90.00 90.00
Fractional positions:
As (0.0000, 0.2457, 0.7560)
As (0.0000, 0.7543, 0.2440)
As (0.5000, 0.2408, 0.2400)
As (0.5000, 0.7592, 0.7600)
Dy (0.0000, 0.5000, 0.5000)
Dy (0.5000, 0.0000, 0.5000)
Zr (0.0000, 0.0000, 0.0000)
Ho (0.5000, 0.5000, 0.0000)

No. 8
This record from Alexandria via LeMat-Bulk describes K4MgAu after structural relaxation. The functional is PBE.

Results
**M_tot**: 0.00 μB/cell
**DOS at the Fermi energy**: 2.865 states/eV/cell
**Electronic total energy**: -0.045 hartree per atom

abc: 7.4395 7.4395 7.4395
angles: 60.00 60.00 60.00
Fractional positions:
K (0.8773, 0.3742, 0.3742)
K (0.3742, 0.3742, 0.8773)
K (0.3742, 0.3742, 0.3742)
K (0.3742, 0.8773, 0.3742)
Mg (0.7500, 0.7500, 0.7500)
Au (0.0000, 0.0000, 0.0000)

Which of these has the highest M_tot?
RbNpPb2I8